# NpTcNi | the Open Quantum Materials Database | PBE | optimized geometry
data_NpTcNi
_symmetry_space_group_name_H-M 'F -4 3 m'
_symmetry_Int_Tables_number 216
_symmetry_space_group_name_Hall 'F -4 2 3'
_cell_length_a 5.9456
_cell_length_b 5.9456
_cell_length_c 5.9456
_cell_angle_alpha 90.00
_cell_angle_beta 90.00
_cell_angle_gamma 90.00
loop_
_atom_site_label
_atom_site_fract_x
_atom_site_fract_y
_atom_site_fract_z
Np1 0.0000 0.0000 0.0000
Tc1 0.0000 0.0000 0.5000
Ni1 0.2500 0.2500 0.7500
# Energy relative to the lowest polymorph listed for this composition, meV/atom: 0
# Calculated formation energy, eV per atom: 0.54
# Total magnetic moment, μB per formula unit: 0.00
# E, eV per atom: -9.025